# 1
## K2IrF6 (PBE)

Data for a relaxed structure of K2IrF6.

**Energy relative to the elements, uncorrected**: -2.196 eV per atom
**Space group**: P2_1/c, No. 14

Lattice parameters (Å, degrees): 6.120 6.739 8.392 90.00 95.23 90.00
Site moments in Bohr magnetons follow the coordinates.
Sites, in units of the cell vectors:
1 F 0.270 0.850 0.461  0.03
2 F 0.730 0.150 0.539  0.03
3 F 0.361 0.749 0.061  0.05
4 F 0.230 0.350 0.039  0.03
5 F 0.861 0.751 0.561  0.05
6 F 0.139 0.249 0.439  0.05
7 F 0.388 0.545 0.776  0.05
8 F 0.112 0.045 0.724  0.05
9 F 0.888 0.955 0.276  0.05
10 F 0.612 0.455 0.224  0.05
11 F 0.639 0.251 0.939  0.05
12 F 0.770 0.650 0.961  0.03
13 K 0.964 0.424 0.747  0.00
14 K 0.536 0.924 0.753  0.00
15 K 0.464 0.076 0.247  0.00
16 K 0.036 0.576 0.253  0.00
17 Ir 0.500 0.500 0.000  0.72
18 Ir 0.000 0.000 0.500  0.72

# 2
## Mg5InRh4 (PBE)

Data for a relaxed structure of Mg5InRh4.

**Space group**: P4/mmm, No. 123
**Formation energy**: -4.280 eV per formula unit

Lattice parameters (Å, degrees): 3.174 3.174 16.482 90.00 90.00 90.00
Sites, in units of the cell vectors:
1 Mg 0.500 0.500 0.685
2 Mg 0.500 0.500 0.134
3 Mg 0.500 0.500 0.500
4 Mg 0.500 0.500 0.866
5 Mg 0.500 0.500 0.315
6 In 0.000 0.000 0.000
7 Rh 0.000 0.000 0.780
8 Rh 0.000 0.000 0.220
9 Rh 0.000 0.000 0.408
10 Rh 0.000 0.000 0.592

# 3
## P2OsSe (PBE)

Data for a relaxed structure of P2OsSe.

**Energy relative to the elements, uncorrected**: 0.652 eV per atom
**Space group**: Cmm2, No. 35

Lattice parameters (Å, degrees): 2.900 2.900 9.218 90.00 90.00 119.00
Sites, in units of the cell vectors:
1 P 0.000 0.000 0.984
2 P 0.500 0.500 0.187
3 Se 0.000 0.000 0.549
4 Os 0.500 0.500 0.779

# 4
## HfSc2CoP (PBE)

Data for a relaxed structure of HfSc2CoP.

**Space group**: P4/mmm, No. 123
**Formation energy**: -0.528 eV per formula unit

Lattice parameters (Å, degrees): 4.924 4.130 4.924 90.00 90.00 90.00
Site moments in Bohr magnetons follow the coordinates.
Sites, in units of the cell vectors:
1 Co 0.000 0.500 0.000  0.90
2 Sc 0.500 0.000 0.000  0.16
3 Sc 0.000 0.000 0.500  0.13
4 P 0.000 0.000 0.000  0.04
5 Hf 0.500 0.500 0.500  0.30

# 5
## Ac3Ge (PBE)

Data for a relaxed structure of Ac3Ge.

**Space group**: Cmcm, No. 63
**Formation energy**: -1.481 eV per formula unit
**Excess energy over the best structure of this formula in the dataset**: 0 meV/atom

Lattice parameters (Å, degrees): 4.437 7.100 10.167 90.00 90.00 108.21
Sites, in units of the cell vectors:
1 Ac 0.428 0.856 0.750
2 Ac 0.854 0.707 0.058
3 Ac 0.572 0.144 0.250
4 Ac 0.854 0.707 0.442
5 Ac 0.146 0.293 0.942
6 Ac 0.146 0.293 0.558
7 Ge 0.247 0.494 0.250
8 Ge 0.753 0.506 0.750

# 6
## PrZrZnRh (PBE)

Data for a relaxed structure of PrZrZnRh.

**Space group**: F-43m, No. 216
**Formation energy**: -1.294 eV per formula unit

Lattice parameters (Å, degrees): 4.921 4.921 4.921 60.00 60.00 60.00
Sites, in units of the cell vectors:
1 Zn 0.000 0.000 0.000
2 Zr 0.750 0.750 0.750
3 Rh 0.500 0.500 0.500
4 Pr 0.250 0.250 0.250

Spin magnetization across the listed records, respectively: 2.02, 0.00, 0.00, 1.75, 0.00, 0.00 Bohr magnetons per cell.